Entry 1:
# Y2TlHgF

Crystalline Y2TlHgF at its relaxed geometry (GGA-PBE, Alexandria via LeMat-Bulk).

CIF file:
```
data_Y2TlHgF
_chemical_formula_sum 'Y2 Tl1 Hg1 F1'
_cell_length_a 4.833
_cell_length_b 4.833
_cell_length_c 5.064
_cell_angle_alpha 90.00
_cell_angle_beta 90.00
_cell_angle_gamma 90.00
_symmetry_space_group_name_H-M 'P 4/m m m'
_symmetry_Int_Tables_number 123
_symmetry_space_group_name_Hall '-P 4 2'
loop_
_atom_site_label
_atom_site_type_symbol
_atom_site_fract_x
_atom_site_fract_y
_atom_site_fract_z
Y1 Y 0.000 0.500 0.000
Tl1 Tl 0.000 0.000 0.500
Hg1 Hg 0.500 0.500 0.500
F1 F 0.500 0.500 0.000
```

## Properties
raw formation energy	-0.95	eV/atom
volume	23.7	A^3/atom
mass density	8.4	g cm⁻³

Entry 2:
# TlZnHg2F8

Crystalline TlZnHg2F8 at its relaxed geometry (GGA-PBE, Alexandria via LeMat-Bulk).

CIF file:
```
data_TlZnHg2F8
_chemical_formula_sum 'Tl1 Zn1 Hg2 F8'
_cell_length_a 5.210
_cell_length_b 7.162
_cell_length_c 5.278
_cell_angle_alpha 90.00
_cell_angle_beta 90.30
_cell_angle_gamma 90.00
_symmetry_space_group_name_H-M 'P 1 2/m 1'
_symmetry_Int_Tables_number 10
loop_
_symmetry_equiv_pos_as_xyz
'x,y,z'
'-x,-y,-z'
'-x,y,-z'
'x,-y,z'
loop_
_atom_site_label
_atom_site_type_symbol
_atom_site_fract_x
_atom_site_fract_y
_atom_site_fract_z
Tl1 Tl 0.000 0.000 0.000
Zn1 Zn 0.000 0.500 0.000
Hg1 Hg 0.500 0.265 0.500
F1 F 0.183 0.276 0.185
F2 F 0.279 0.500 0.725
F3 F 0.314 0.000 0.697
```

## Properties
raw formation energy	-1.71	eV/atom
volume	16.4	A^3/atom
mass density	6.9	g cm⁻³

Entry 3:
# Tl3ZnHg2F9

Crystalline Tl3ZnHg2F9 at its relaxed geometry (GGA-PBE, Alexandria via LeMat-Bulk).

CIF file:
```
data_Tl3ZnHg2F9
_chemical_formula_sum 'Tl3 Zn1 Hg2 F9'
_cell_length_a 6.3240
_cell_length_b 6.3240
_cell_length_c 7.6805
_cell_angle_alpha 90.00
_cell_angle_beta 90.00
_cell_angle_gamma 120.00
_symmetry_space_group_name_H-M 'P -3 m 1'
_symmetry_Int_Tables_number 164
_symmetry_space_group_name_Hall '-P 3 2"'
loop_
_atom_site_label
_atom_site_type_symbol
_atom_site_fract_x
_atom_site_fract_y
_atom_site_fract_z
Tl1 Tl 0.0000 0.0000 0.0000
Tl2 Tl 0.3333 0.6667 0.6811
Zn1 Zn 0.0000 0.0000 0.5000
Hg1 Hg 0.3333 0.6667 0.1875
F1 F 0.0000 0.5000 0.0000
F2 F 0.1532 0.3064 0.3448
```

## Properties
raw formation energy	-1.75	eV/atom
volume	17.7	A^3/atom
mass density	7.8	g cm⁻³

Entry 4:
# TlZnHg2F6

Crystalline TlZnHg2F6 at its relaxed geometry (GGA-PBE, Alexandria via LeMat-Bulk).

CIF file:
```
data_TlZnHg2F6
_chemical_formula_sum 'Tl4 Zn4 Hg8 F24'
_cell_length_a 9.798
_cell_length_b 10.338
_cell_length_c 7.323
_cell_angle_alpha 90.00
_cell_angle_beta 109.05
_cell_angle_gamma 90.00
_symmetry_space_group_name_H-M 'C 1 2/c 1'
_symmetry_Int_Tables_number 15
loop_
_symmetry_equiv_pos_as_xyz
'x,y,z'
'-x,-y,-z'
'-x,y,-z+1/2'
'x,-y,z+1/2'
'x+1/2,y+1/2,z'
'-x+1/2,-y+1/2,-z'
'-x+1/2,y+1/2,-z+1/2'
'x+1/2,-y+1/2,z+1/2'
loop_
_atom_site_label
_atom_site_type_symbol
_atom_site_fract_x
_atom_site_fract_y
_atom_site_fract_z
Tl1 Tl 0.000 0.128 0.250
Zn1 Zn 0.000 0.238 0.750
Hg1 Hg 0.148 0.441 0.278
F1 F 0.100 0.102 0.651
F2 F 0.117 0.343 0.960
F3 F 0.207 0.391 0.604
```

## Properties
raw formation energy	-1.62	eV/atom
volume	17.5	A^3/atom
mass density	7.4	g cm⁻³